[1]
A plane-wave DFT calculation with PBE was carried out for a geometry-optimized HfBe17Nb structure.

Structure (CIF):
```
data_HfBe17Nb
_symmetry_space_group_name_H-M 'R 3 m'
_symmetry_Int_Tables_number 160
_symmetry_space_group_name_Hall 'R 3 -2"'
_cell_length_a 7.4202
_cell_length_b 7.4202
_cell_length_c 10.8334
_cell_angle_alpha 90.00
_cell_angle_beta 90.00
_cell_angle_gamma 120.00
loop_
_atom_site_label
_atom_site_type_symbol
_atom_site_fract_x
_atom_site_fract_y
_atom_site_fract_z
Hf1 Hf 0.0000 0.0000 0.0000
Be1 Be 0.0000 0.0000 0.5628
Be2 Be 0.0000 0.0000 0.7572
Be3 Be 0.9999 0.5000 0.1614
Be4 Be 0.0017 0.5008 0.8185
Be5 Be 0.0431 0.3751 0.3283
Be6 Be 0.1696 0.3392 0.8385
Nb1 Nb 0.0000 0.0000 0.3237
```

Output
* calculated formation energy: -5.1 kcal/mol of atoms
* crystal system: trigonal



[2]
A plane-wave DFT calculation with PBE was carried out for a geometry-optimized Hf2Be2Nb structure.

Structure (CIF):
```
data_Hf2Be2Nb
_symmetry_space_group_name_H-M 'P 4/m b m'
_symmetry_Int_Tables_number 127
_symmetry_space_group_name_Hall '-P 4 2ab'
_cell_length_a 7.095
_cell_length_b 7.095
_cell_length_c 3.193
_cell_angle_alpha 90.00
_cell_angle_beta 90.00
_cell_angle_gamma 90.00
loop_
_atom_site_label
_atom_site_type_symbol
_atom_site_fract_x
_atom_site_fract_y
_atom_site_fract_z
Hf1 Hf 0.182 0.318 0.000
Be1 Be 0.111 0.611 0.500
Nb1 Nb 0.000 0.000 0.500
```

Output
* calculated formation energy: -0.8 kcal/mol of atoms
* crystal system: tetragonal



[3]
A plane-wave DFT calculation with PBE was carried out for a geometry-optimized Hf2BeNb structure.

Structure (CIF):
```
data_Hf2BeNb
_symmetry_space_group_name_H-M 'R -3 m'
_symmetry_Int_Tables_number 166
_symmetry_space_group_name_Hall '-R 3 2"'
_cell_length_a 3.1512
_cell_length_b 3.1512
_cell_length_c 26.0570
_cell_angle_alpha 90.00
_cell_angle_beta 90.00
_cell_angle_gamma 120.00
loop_
_atom_site_label
_atom_site_type_symbol
_atom_site_fract_x
_atom_site_fract_y
_atom_site_fract_z
Hf1 Hf 0.0000 0.0000 0.2411
Be1 Be 0.0000 0.0000 0.5000
Nb1 Nb 0.0000 0.0000 0.0000
```

Output
* calculated formation energy: 5.3 kcal/mol of atoms
* crystal system: trigonal



[4]
A plane-wave DFT calculation with PBE was carried out for a geometry-optimized Hf3BeNb structure.

Structure (CIF):
```
data_Hf3BeNb
_symmetry_space_group_name_H-M 'P m -3 m'
_symmetry_Int_Tables_number 221
_symmetry_space_group_name_Hall '-P 4 2 3'
_cell_length_a 5.025
_cell_length_b 5.025
_cell_length_c 5.025
_cell_angle_alpha 90.00
_cell_angle_beta 90.00
_cell_angle_gamma 90.00
loop_
_atom_site_label
_atom_site_type_symbol
_atom_site_fract_x
_atom_site_fract_y
_atom_site_fract_z
Hf1 Hf 0.000 0.000 0.500
Be1 Be 0.500 0.500 0.500
Nb1 Nb 0.000 0.000 0.000
```

Output
* calculated formation energy: 32.2 kcal/mol of atoms
* crystal system: cubic



[5]
A plane-wave DFT calculation with PBE was carried out for a geometry-optimized Hf2BeNb structure.

Structure (CIF):
```
data_Hf2BeNb
_symmetry_space_group_name_H-M 'P 4/m m m'
_symmetry_Int_Tables_number 123
_symmetry_space_group_name_Hall '-P 4 2'
_cell_length_a 4.253
_cell_length_b 4.253
_cell_length_c 3.996
_cell_angle_alpha 90.00
_cell_angle_beta 90.00
_cell_angle_gamma 90.00
loop_
_atom_site_label
_atom_site_type_symbol
_atom_site_fract_x
_atom_site_fract_y
_atom_site_fract_z
Hf1 Hf 0.000 0.500 0.000
Be1 Be 0.000 0.000 0.500
Nb1 Nb 0.500 0.500 0.500
```

Output
* calculated formation energy: 1.8 kcal/mol of atoms
* crystal system: tetragonal



[6]
A plane-wave DFT calculation with PBE was carried out for a geometry-optimized Hf2BeNb structure.

Structure (CIF):
```
data_Hf2BeNb
_symmetry_space_group_name_H-M 'I -4 2 d'
_symmetry_Int_Tables_number 122
_symmetry_space_group_name_Hall 'I -4 2bw'
_cell_length_a 3.958
_cell_length_b 3.958
_cell_length_c 19.504
_cell_angle_alpha 90.00
_cell_angle_beta 90.00
_cell_angle_gamma 90.00
loop_
_atom_site_label
_atom_site_type_symbol
_atom_site_fract_x
_atom_site_fract_y
_atom_site_fract_z
Hf1 Hf 0.250 0.250 0.125
Be1 Be 0.000 0.000 0.000
Nb1 Nb 0.000 0.000 0.500
```

Output
* calculated formation energy: 14.1 kcal/mol of atoms
* crystal system: tetragonal



[7]
A plane-wave DFT calculation with PBE was carried out for a geometry-optimized Hf3BeNb structure.

Structure (CIF):
```
data_Hf3BeNb
_symmetry_space_group_name_H-M 'P m -3 m'
_symmetry_Int_Tables_number 221
_symmetry_space_group_name_Hall '-P 4 2 3'
_cell_length_a 4.658
_cell_length_b 4.658
_cell_length_c 4.658
_cell_angle_alpha 90.00
_cell_angle_beta 90.00
_cell_angle_gamma 90.00
loop_
_atom_site_label
_atom_site_type_symbol
_atom_site_fract_x
_atom_site_fract_y
_atom_site_fract_z
Hf1 Hf 0.000 0.000 0.500
Be1 Be 0.000 0.000 0.000
Nb1 Nb 0.500 0.500 0.500
```

Output
* calculated formation energy: 12.2 kcal/mol of atoms
* crystal system: cubic



[8]
A plane-wave DFT calculation with PBE was carried out for a geometry-optimized HfBe10Nb structure.

Structure (CIF):
```
data_HfBe10Nb
_symmetry_space_group_name_H-M 'P m m m'
_symmetry_Int_Tables_number 47
_cell_length_a 3.397
_cell_length_b 4.486
_cell_length_c 7.758
_cell_angle_alpha 90.00
_cell_angle_beta 90.00
_cell_angle_gamma 90.00
loop_
_symmetry_equiv_pos_as_xyz
'x,y,z'
'-x,-y,-z'
'-x,-y,z'
'x,y,-z'
'x,-y,-z'
'-x,y,z'
'-x,y,-z'
'x,-y,z'
loop_
_atom_site_label
_atom_site_type_symbol
_atom_site_fract_x
_atom_site_fract_y
_atom_site_fract_z
Hf1 Hf 0.000 0.000 0.000
Be1 Be 0.000 0.000 0.340
Be2 Be 0.000 0.500 0.172
Be3 Be 0.500 0.000 0.500
Be4 Be 0.500 0.253 0.256
Be5 Be 0.500 0.500 0.000
Nb1 Nb 0.000 0.500 0.500
```

Output
* calculated formation energy: -5.3 kcal/mol of atoms
* crystal system: orthorhombic



[9]
A plane-wave DFT calculation with PBE was carried out for a geometry-optimized Hf2BeNb structure.

Structure (CIF):
```
data_Hf2BeNb
_symmetry_space_group_name_H-M 'P 4/m m m'
_symmetry_Int_Tables_number 123
_symmetry_space_group_name_Hall '-P 4 2'
_cell_length_a 3.325
_cell_length_b 3.325
_cell_length_c 6.488
_cell_angle_alpha 90.00
_cell_angle_beta 90.00
_cell_angle_gamma 90.00
loop_
_atom_site_label
_atom_site_type_symbol
_atom_site_fract_x
_atom_site_fract_y
_atom_site_fract_z
Hf1 Hf 0.000 0.000 0.233
Be1 Be 0.500 0.500 0.000
Nb1 Nb 0.500 0.500 0.500
```

Output
* calculated formation energy: 1.0 kcal/mol of atoms
* crystal system: tetragonal



[10]
A plane-wave DFT calculation with PBE was carried out for a geometry-optimized Hf2BeNbNi structure.

Structure (CIF):
```
data_Hf2BeNbNi
_symmetry_space_group_name_H-M 'P 4/m m m'
_symmetry_Int_Tables_number 123
_symmetry_space_group_name_Hall '-P 4 2'
_cell_length_a 4.966
_cell_length_b 4.966
_cell_length_c 4.371
_cell_angle_alpha 90.00
_cell_angle_beta 90.00
_cell_angle_gamma 90.00
loop_
_atom_site_label
_atom_site_type_symbol
_atom_site_fract_x
_atom_site_fract_y
_atom_site_fract_z
Hf1 Hf 0.000 0.500 0.000
Be1 Be 0.000 0.000 0.500
Nb1 Nb 0.000 0.000 0.000
Ni1 Ni 0.500 0.500 0.500
```

Output
* calculated formation energy: 30.2 kcal/mol of atoms
* crystal system: tetragonal



[11]
A plane-wave DFT calculation with PBE was carried out for a geometry-optimized HfBeNb2O structure.

Structure (CIF):
```
data_HfBeNb2O
_symmetry_space_group_name_H-M 'P 4/m m m'
_symmetry_Int_Tables_number 123
_symmetry_space_group_name_Hall '-P 4 2'
_cell_length_a 4.904
_cell_length_b 4.904
_cell_length_c 4.461
_cell_angle_alpha 90.00
_cell_angle_beta 90.00
_cell_angle_gamma 90.00
loop_
_atom_site_label
_atom_site_type_symbol
_atom_site_fract_x
_atom_site_fract_y
_atom_site_fract_z
Hf1 Hf 0.000 0.000 0.000
Be1 Be 0.000 0.000 0.500
Nb1 Nb 0.000 0.500 0.000
O1 O 0.500 0.500 0.500
```

Output
* formation energy (no corrections): 1.98 eV per atom
* crystal system: tetragonal



[12]
A plane-wave DFT calculation with PBE was carried out for a geometry-optimized HfBeNb2Os structure.

Structure (CIF):
```
data_HfBeNb2Os
_symmetry_space_group_name_H-M 'P 4/m m m'
_symmetry_Int_Tables_number 123
_symmetry_space_group_name_Hall '-P 4 2'
_cell_length_a 4.831
_cell_length_b 4.831
_cell_length_c 4.990
_cell_angle_alpha 90.00
_cell_angle_beta 90.00
_cell_angle_gamma 90.00
loop_
_atom_site_label
_atom_site_type_symbol
_atom_site_fract_x
_atom_site_fract_y
_atom_site_fract_z
Hf1 Hf 0.000 0.000 0.000
Be1 Be 0.500 0.500 0.000
Nb1 Nb 0.000 0.500 0.500
Os1 Os 0.000 0.000 0.500
```

Output
* calculated formation energy: 26.6 kcal/mol of atoms
* crystal system: tetragonal



[13]
A plane-wave DFT calculation with PBE was carried out for a geometry-optimized HfBe2NbPd structure.

Structure (CIF):
```
data_HfBe2NbPd
_symmetry_space_group_name_H-M 'P 4/m m m'
_symmetry_Int_Tables_number 123
_symmetry_space_group_name_Hall '-P 4 2'
_cell_length_a 4.492
_cell_length_b 4.492
_cell_length_c 4.649
_cell_angle_alpha 90.00
_cell_angle_beta 90.00
_cell_angle_gamma 90.00
loop_
_atom_site_label
_atom_site_type_symbol
_atom_site_fract_x
_atom_site_fract_y
_atom_site_fract_z
Hf1 Hf 0.000 0.000 0.000
Be1 Be 0.000 0.500 0.000
Nb1 Nb 0.500 0.500 0.500
Pd1 Pd 0.000 0.000 0.500
```

Output
* calculated formation energy: 32.8 kcal/mol of atoms
* crystal system: tetragonal



[14]
A plane-wave DFT calculation with PBE was carried out for a geometry-optimized HfBe2Nb2Ru5 structure.

Structure (CIF):
```
data_HfBe2Nb2Ru5
_symmetry_space_group_name_H-M 'P 4/m b m'
_symmetry_Int_Tables_number 127
_symmetry_space_group_name_Hall '-P 4 2ab'
_cell_length_a 9.433
_cell_length_b 9.433
_cell_length_c 3.185
_cell_angle_alpha 90.00
_cell_angle_beta 90.00
_cell_angle_gamma 90.00
loop_
_atom_site_label
_atom_site_type_symbol
_atom_site_fract_x
_atom_site_fract_y
_atom_site_fract_z
Hf1 Hf 0.000 0.000 0.000
Be1 Be 0.122 0.378 0.000
Nb1 Nb 0.174 0.674 0.000
Ru1 Ru 0.000 0.500 0.500
Ru2 Ru 0.075 0.213 0.500
```

Output
* calculated formation energy: -9.2 kcal/mol of atoms
* crystal system: tetragonal



[15]
A plane-wave DFT calculation with PBE was carried out for a geometry-optimized Hf2Be2NbRu5 structure.

Structure (CIF):
```
data_Hf2Be2NbRu5
_symmetry_space_group_name_H-M 'P 4/m b m'
_symmetry_Int_Tables_number 127
_symmetry_space_group_name_Hall '-P 4 2ab'
_cell_length_a 9.486
_cell_length_b 9.486
_cell_length_c 3.201
_cell_angle_alpha 90.00
_cell_angle_beta 90.00
_cell_angle_gamma 90.00
loop_
_atom_site_label
_atom_site_type_symbol
_atom_site_fract_x
_atom_site_fract_y
_atom_site_fract_z
Hf1 Hf 0.173 0.327 0.000
Be1 Be 0.122 0.622 0.000
Nb1 Nb 0.000 0.000 0.000
Ru1 Ru 0.000 0.500 0.500
Ru2 Ru 0.073 0.790 0.500
```

Output
* calculated formation energy: -12.4 kcal/mol of atoms
* crystal system: tetragonal



[16]
A plane-wave DFT calculation with PBE was carried out for a geometry-optimized HfBeNbSe2 structure.

Structure (CIF):
```
data_HfBeNbSe2
_symmetry_space_group_name_H-M 'P 4/m m m'
_symmetry_Int_Tables_number 123
_symmetry_space_group_name_Hall '-P 4 2'
_cell_length_a 4.522
_cell_length_b 4.522
_cell_length_c 4.372
_cell_angle_alpha 90.00
_cell_angle_beta 90.00
_cell_angle_gamma 90.00
loop_
_atom_site_label
_atom_site_type_symbol
_atom_site_fract_x
_atom_site_fract_y
_atom_site_fract_z
Hf1 Hf 0.000 0.000 0.000
Be1 Be 0.500 0.500 0.500
Nb1 Nb 0.500 0.500 0.000
Se1 Se 0.000 0.500 0.500
```

Output
* formation energy (no corrections): 0.34 eV per atom
* crystal system: tetragonal



[17]
A plane-wave DFT calculation with PBE was carried out for a geometry-optimized HfBeNbTl2 structure.

Structure (CIF):
```
data_HfBeNbTl2
_symmetry_space_group_name_H-M 'P 4/m m m'
_symmetry_Int_Tables_number 123
_symmetry_space_group_name_Hall '-P 4 2'
_cell_length_a 5.387
_cell_length_b 5.387
_cell_length_c 4.508
_cell_angle_alpha 90.00
_cell_angle_beta 90.00
_cell_angle_gamma 90.00
loop_
_atom_site_label
_atom_site_type_symbol
_atom_site_fract_x
_atom_site_fract_y
_atom_site_fract_z
Hf1 Hf 0.000 0.000 0.000
Be1 Be 0.000 0.000 0.500
Nb1 Nb 0.500 0.500 0.500
Tl1 Tl 0.000 0.500 0.000
```

Output
* calculated formation energy: 37.3 kcal/mol of atoms
* crystal system: tetragonal



[18]
A plane-wave DFT calculation with PBE was carried out for a geometry-optimized HfZrBeNb2 structure.

Structure (CIF):
```
data_HfZrBeNb2
_symmetry_space_group_name_H-M 'P 4/m m m'
_symmetry_Int_Tables_number 123
_symmetry_space_group_name_Hall '-P 4 2'
_cell_length_a 4.888
_cell_length_b 4.888
_cell_length_c 5.114
_cell_angle_alpha 90.00
_cell_angle_beta 90.00
_cell_angle_gamma 90.00
loop_
_atom_site_label
_atom_site_type_symbol
_atom_site_fract_x
_atom_site_fract_y
_atom_site_fract_z
Hf1 Hf 0.000 0.000 0.000
Zr1 Zr 0.000 0.000 0.500
Be1 Be 0.500 0.500 0.000
Nb1 Nb 0.000 0.500 0.500
```

Output
* calculated formation energy: 42.9 kcal/mol of atoms
* crystal system: tetragonal



[19]
A plane-wave DFT calculation with PBE was carried out for a geometry-optimized HfBeNi6 structure.

Structure (CIF):
```
data_HfBeNi6
_symmetry_space_group_name_H-M 'C m m m'
_symmetry_Int_Tables_number 65
_symmetry_space_group_name_Hall '-C 2 2'
_cell_length_a 7.001
_cell_length_b 10.325
_cell_length_c 10.265
_cell_angle_alpha 90.00
_cell_angle_beta 90.00
_cell_angle_gamma 90.00
loop_
_atom_site_label
_atom_site_type_symbol
_atom_site_fract_x
_atom_site_fract_y
_atom_site_fract_z
Hf1 Hf 0.000 0.000 0.244
Hf2 Hf 0.000 0.239 0.500
Be1 Be 0.000 0.230 0.000
Be2 Be 0.000 0.500 0.236
Ni1 Ni 0.000 0.000 0.000
Ni2 Ni 0.000 0.000 0.500
Ni3 Ni 0.000 0.250 0.237
Ni4 Ni 0.000 0.500 0.000
Ni5 Ni 0.000 0.500 0.500
Ni6 Ni 0.231 0.379 0.365
Ni7 Ni 0.235 0.371 0.117
```

Output
* calculated formation energy: -7.0 kcal/mol of atoms
* crystal system: orthorhombic



[20]
A plane-wave DFT calculation with PBE was carried out for a geometry-optimized HfBe10Ni structure.

Structure (CIF):
```
data_HfBe10Ni
_symmetry_space_group_name_H-M 'P m m m'
_symmetry_Int_Tables_number 47
_cell_length_a 3.510
_cell_length_b 4.287
_cell_length_c 7.529
_cell_angle_alpha 90.00
_cell_angle_beta 90.00
_cell_angle_gamma 90.00
loop_
_symmetry_equiv_pos_as_xyz
'x,y,z'
'-x,-y,-z'
'-x,-y,z'
'x,y,-z'
'x,-y,-z'
'-x,y,z'
'-x,y,-z'
'x,-y,z'
loop_
_atom_site_label
_atom_site_type_symbol
_atom_site_fract_x
_atom_site_fract_y
_atom_site_fract_z
Hf1 Hf 0.000 0.000 0.000
Be1 Be 0.000 0.000 0.348
Be2 Be 0.000 0.500 0.194
Be3 Be 0.500 0.000 0.500
Be4 Be 0.500 0.246 0.256
Be5 Be 0.500 0.500 0.000
Ni1 Ni 0.000 0.500 0.500
```

Output
* calculated formation energy: -3.1 kcal/mol of atoms
* crystal system: orthorhombic



Number 1: final energy -4.611 eV/atom. Number 2: final energy -7.521 eV/atom. Number 3: final energy -8.194 eV/atom. Number 4: final energy -7.336 eV/atom. Number 5: final energy -8.349 eV/atom. Number 6: final energy -7.813 eV/atom. Number 7: final energy -8.202 eV/atom. Number 8: final energy -5.003 eV/atom. Number 9: final energy -8.381 eV/atom. Number 10: final energy -6.585 eV/atom. Number 11: final energy -5.773 eV/atom. Number 12: final energy -7.857 eV/atom. Number 13: final energy -5.111 eV/atom. Number 14: final energy -8.792 eV/atom. Number 15: final energy -8.920 eV/atom. Number 16: final energy -5.802 eV/atom. Number 17: final energy -4.077 eV/atom. Number 18: final energy -6.613 eV/atom. Number 19: final energy -6.351 eV/atom. Number 20: final energy -4.549 eV/atom.